# RbCdPO2

A relaxed RbCdPO2 crystal (PBEsol, Alexandria via LeMat-Bulk).

Results
- space-group type = P4/mmm
- uncorrected formation energy (eV/atom) = 1.11
- final energy (eV per atom) = -2.591

Cell: 4.1572 4.1572 6.4100 Å, 90.00 90.00 90.00°
Fractional positions:
1 Rb 0.0000 0.0000 0.0000
2 Cd 0.5000 0.5000 0.5000
3 P 0.0000 0.0000 0.5000
4 O 0.0000 0.5000 0.0000
5 O 0.5000 0.0000 0.0000


# Rb2CdP2O7

A relaxed Rb2CdP2O7 crystal (PBEsol, Alexandria via LeMat-Bulk).

Results
- space-group type = P2_1/c
- uncorrected formation energy (eV/atom) = -2.14
- final energy (eV per atom) = -6.436

Cell: 5.3712 9.9260 15.5972 Å, 90.00 92.75 90.00°
Fractional positions:
1 Rb 0.2148 0.1550 0.0752
2 Rb 0.2148 0.3450 0.5752
3 Rb 0.2322 0.0171 0.3883
4 Rb 0.2322 0.4829 0.8883
5 Rb 0.7678 0.5171 0.1117
6 Rb 0.7678 0.9829 0.6117
7 Rb 0.7852 0.6550 0.4248
8 Rb 0.7852 0.8450 0.9248
9 Cd 0.2398 0.1163 0.8132
10 Cd 0.2398 0.3837 0.3132
11 Cd 0.7602 0.6163 0.6868
12 Cd 0.7602 0.8837 0.1868
13 P 0.2552 0.7463 0.5871
14 P 0.2552 0.7537 0.0871
15 P 0.2609 0.7230 0.2733
16 P 0.2609 0.7770 0.7733
17 P 0.7391 0.2230 0.2267
18 P 0.7391 0.2770 0.7267
19 P 0.7448 0.2463 0.9129
20 P 0.7448 0.2537 0.4129
21 O 0.0116 0.7075 0.7880
22 O 0.0116 0.7925 0.2880
23 O 0.0950 0.6211 0.6011
24 O 0.0950 0.8789 0.1011
25 O 0.1549 0.6591 0.0179
26 O 0.1549 0.8409 0.5179
27 O 0.2439 0.6618 0.1760
28 O 0.2439 0.8382 0.6760
29 O 0.2992 0.5994 0.3309
30 O 0.2992 0.9006 0.8309
31 O 0.4666 0.2130 0.9202
32 O 0.4666 0.2870 0.4202
33 O 0.4790 0.6786 0.7822
34 O 0.4790 0.8214 0.2822
35 O 0.5210 0.1786 0.7178
36 O 0.5210 0.3214 0.2178
37 O 0.5334 0.7130 0.5798
38 O 0.5334 0.7870 0.0798
39 O 0.7008 0.0994 0.1691
40 O 0.7008 0.4006 0.6691
41 O 0.7561 0.1618 0.3240
42 O 0.7561 0.3382 0.8240
43 O 0.8451 0.1591 0.4821
44 O 0.8451 0.3409 0.9821
45 O 0.9050 0.1211 0.8989
46 O 0.9050 0.3789 0.3989
47 O 0.9884 0.2075 0.7120
48 O 0.9884 0.2925 0.2120


# CdPRuO2

A relaxed CdPRuO2 crystal (PBEsol, Alexandria via LeMat-Bulk).

Results
- space-group type = P4/mmm
- uncorrected formation energy (eV/atom) = -0.43
- final energy (eV per atom) = -5.965

Cell: 3.7326 3.7326 5.1520 Å, 90.00 90.00 90.00°
Fractional positions:
1 Cd 0.0000 0.0000 0.0000
2 P 0.5000 0.5000 0.0000
3 Ru 0.5000 0.5000 0.5000
4 O 0.0000 0.5000 0.5000
5 O 0.5000 0.0000 0.5000


# CdPS2O

A relaxed CdPS2O crystal (PBEsol, Alexandria via LeMat-Bulk).

Results
- space-group type = P4/mmm
- uncorrected formation energy (eV/atom) = 1.55
- final energy (eV per atom) = -2.650

Cell: 4.8765 4.8765 4.9886 Å, 90.00 90.00 90.00°
Fractional positions:
1 Cd 0.0000 0.0000 0.0000
2 P 0.0000 0.0000 0.5000
3 S 0.0000 0.5000 0.0000
4 S 0.5000 0.0000 0.0000
5 O 0.5000 0.5000 0.5000


# CdPSO2

A relaxed CdPSO2 crystal (PBEsol, Alexandria via LeMat-Bulk).

Results
- space-group type = P4/mmm
- uncorrected formation energy (eV/atom) = -0.01
- final energy (eV per atom) = -4.388

Cell: 3.6639 3.6639 4.7099 Å, 90.00 90.00 90.00°
Fractional positions:
1 Cd 0.0000 0.0000 0.0000
2 P 0.5000 0.5000 0.0000
3 S 0.5000 0.5000 0.5000
4 O 0.0000 0.5000 0.5000
5 O 0.5000 0.0000 0.5000


# CdP2SeO

A relaxed CdP2SeO crystal (PBEsol, Alexandria via LeMat-Bulk).

Results
- space-group type = P4/mmm
- uncorrected formation energy (eV/atom) = 0.43
- final energy (eV per atom) = -3.947

Cell: 4.8834 4.8834 3.6722 Å, 90.00 90.00 90.00°
Fractional positions:
1 Cd 0.0000 0.0000 0.0000
2 P 0.0000 0.5000 0.5000
3 P 0.5000 0.0000 0.5000
4 Se 0.5000 0.5000 0.5000
5 O 0.5000 0.5000 0.0000


# Cd5Si2PO12

A relaxed Cd5Si2PO12 crystal (PBEsol, Alexandria via LeMat-Bulk).

Results
- space-group type = Pnma
- uncorrected formation energy (eV/atom) = -1.76
- final energy (eV per atom) = -6.071

Cell: 6.7139 14.9875 10.1840 Å, 90.00 90.00 90.00°
Fractional positions:
1 Cd 0.0476 0.2500 0.2101
2 Cd 0.1452 0.5892 0.5565
3 Cd 0.1452 0.9108 0.5565
4 Cd 0.1581 0.6067 0.1630
5 Cd 0.1581 0.8933 0.1630
6 Cd 0.3419 0.1067 0.6630
7 Cd 0.3419 0.3933 0.6630
8 Cd 0.3548 0.0892 0.0565
9 Cd 0.3548 0.4108 0.0565
10 Cd 0.4524 0.7500 0.7101
11 Cd 0.5476 0.2500 0.2899
12 Cd 0.6452 0.5892 0.9435
13 Cd 0.6452 0.9108 0.9435
14 Cd 0.6581 0.6067 0.3370
15 Cd 0.6581 0.8933 0.3370
16 Cd 0.8419 0.1067 0.8370
17 Cd 0.8419 0.3933 0.8370
18 Cd 0.8548 0.0892 0.4435
19 Cd 0.8548 0.4108 0.4435
20 Cd 0.9524 0.7500 0.7899
21 Si 0.1493 0.5712 0.8659
22 Si 0.1493 0.9288 0.8659
23 Si 0.3507 0.0712 0.3659
24 Si 0.3507 0.4288 0.3659
25 Si 0.6493 0.5712 0.6341
26 Si 0.6493 0.9288 0.6341
27 Si 0.8507 0.0712 0.1341
28 Si 0.8507 0.4288 0.1341
29 P 0.0056 0.2500 0.5886
30 P 0.4944 0.7500 0.0886
31 P 0.5056 0.2500 0.9114
32 P 0.9944 0.7500 0.4114
33 O 0.0305 0.1148 0.0437
34 O 0.0305 0.3852 0.0437
35 O 0.0349 0.7500 0.5610
36 O 0.0912 0.6635 0.3581
37 O 0.0912 0.8365 0.3581
38 O 0.0966 0.0165 0.7771
39 O 0.0966 0.4835 0.7771
40 O 0.1760 0.0522 0.4768
41 O 0.1760 0.4478 0.4768
42 O 0.2097 0.6503 0.7596
43 O 0.2097 0.8497 0.7596
44 O 0.2317 0.2500 0.6213
45 O 0.2683 0.7500 0.1213
46 O 0.2903 0.1503 0.2596
47 O 0.2903 0.3497 0.2596
48 O 0.3240 0.5522 0.9768
49 O 0.3240 0.9478 0.9768
50 O 0.4034 0.5165 0.2771
51 O 0.4034 0.9835 0.2771
52 O 0.4088 0.1635 0.8581
53 O 0.4088 0.3365 0.8581
54 O 0.4651 0.2500 0.0610
55 O 0.4695 0.6148 0.5437
56 O 0.4695 0.8852 0.5437
57 O 0.5305 0.1148 0.4563
58 O 0.5305 0.3852 0.4563
59 O 0.5349 0.7500 0.9390
60 O 0.5912 0.6635 0.1419
61 O 0.5912 0.8365 0.1419
62 O 0.5966 0.0165 0.7229
63 O 0.5966 0.4835 0.7229
64 O 0.6760 0.0522 0.0232
65 O 0.6760 0.4478 0.0232
66 O 0.7097 0.6503 0.7404
67 O 0.7097 0.8497 0.7404
68 O 0.7317 0.2500 0.8787
69 O 0.7683 0.7500 0.3787
70 O 0.7903 0.1503 0.2404
71 O 0.7903 0.3497 0.2404
72 O 0.8240 0.5522 0.5232
73 O 0.8240 0.9478 0.5232
74 O 0.9034 0.5165 0.2229
75 O 0.9034 0.9835 0.2229
76 O 0.9088 0.1635 0.6419
77 O 0.9088 0.3365 0.6419
78 O 0.9651 0.2500 0.4390
79 O 0.9695 0.6148 0.9563
80 O 0.9695 0.8852 0.9563


# Cd2SiP4O14

A relaxed Cd2SiP4O14 crystal (PBEsol, Alexandria via LeMat-Bulk).

Results
- space-group type = C2/c
- uncorrected formation energy (eV/atom) = -2.08
- final energy (eV per atom) = -7.074

Cell: 9.4744 9.4744 12.8826 Å, 105.15 105.15 34.11°
Fractional positions:
1 Cd 0.1636 0.2937 0.1317
2 Cd 0.2937 0.1636 0.6317
3 Cd 0.7063 0.8364 0.3683
4 Cd 0.8364 0.7063 0.8683
5 Si 0.4276 0.5724 0.7500
6 Si 0.5724 0.4276 0.2500
7 P 0.1608 0.5879 0.5614
8 P 0.3142 0.4388 0.3457
9 P 0.4121 0.8392 0.9386
10 P 0.4388 0.3142 0.8457
11 P 0.5612 0.6858 0.1543
12 P 0.5879 0.1608 0.0614
13 P 0.6858 0.5612 0.6543
14 P 0.8392 0.4121 0.4386
15 O 0.0828 0.5357 0.2933
16 O 0.1149 0.2196 0.4645
17 O 0.1569 0.5614 0.8385
18 O 0.1977 0.7018 0.6574
19 O 0.2196 0.1149 0.9645
20 O 0.2663 0.5623 0.4665
21 O 0.2982 0.8023 0.8426
22 O 0.3253 0.3405 0.0827
23 O 0.3356 0.5571 0.2973
24 O 0.3405 0.3253 0.5827
25 O 0.4377 0.7337 0.0335
26 O 0.4386 0.8431 0.6615
27 O 0.4429 0.6644 0.2027
28 O 0.4643 0.9172 0.2067
29 O 0.5357 0.0828 0.7933
30 O 0.5571 0.3356 0.7973
31 O 0.5614 0.1569 0.3385
32 O 0.5623 0.2663 0.9665
33 O 0.6595 0.6747 0.4173
34 O 0.6644 0.4429 0.7027
35 O 0.6747 0.6595 0.9173
36 O 0.7018 0.1977 0.1574
37 O 0.7337 0.4377 0.5335
38 O 0.7804 0.8851 0.0355
39 O 0.8023 0.2982 0.3426
40 O 0.8431 0.4386 0.1615
41 O 0.8851 0.7804 0.5355
42 O 0.9172 0.4643 0.7067


N(E_F) across the listed records, respectively: 0.51; 0.00; 0.80; 1.25; 0.33; 0.56; 0.76; 0.00 states/eV per atom.